The following is a PBE calculation of crystalline Pr2GdMg3TlIn2 at its relaxed geometry, from OQMD.

a b c (Å): 4.7526 7.6799 7.6799
angles (deg): 119.38 90.00 90.00
Fractional positions:
Pr  0.0000  0.2144  0.7856
Pr  0.0000  0.7856  0.2144
Gd  0.0000  0.3577  0.3577
Mg  0.5000  0.0264  0.0264
Mg  0.5000  0.5413  0.7846
Mg  0.5000  0.7846  0.5413
Tl  0.0000  0.7782  0.7782
In  0.5000  0.1224  0.4493
In  0.5000  0.4493  0.1224

Results
The space group is Amm2, No. 38. For the total energy, the calculation gives -3.3623 eV per atom.